(1)
AcPr3Y7 | PBE | optimized geometry

Calculated values
- Energy above the most stable polymorph in this dataset: 0.000 eV/atom
- Fermi-level density of states: 18.4 states/eV/cell
- Crystal system: trigonal
- VASP energy: -5.60 eV/atom

Structure (CIF):
```
data_AcPr3Y7
_symmetry_space_group_name_H-M 'P 3 m 1'
_symmetry_Int_Tables_number 156
_symmetry_space_group_name_Hall 'P 3 -2"'
_cell_length_a 7.2043
_cell_length_b 7.2043
_cell_length_c 8.8791
_cell_angle_alpha 90.00
_cell_angle_beta 90.00
_cell_angle_gamma 120.00
loop_
_atom_site_label
_atom_site_fract_x
_atom_site_fract_y
_atom_site_fract_z
Ac1 0.0000 0.0000 0.0000
Pr1 0.1677 0.3354 0.6580
Y1 0.0017 0.5008 0.0000
Y2 0.3333 0.6667 0.3230
Y3 0.3345 0.1672 0.3280
```



(2)
Ga2SiIr2 | PBE | optimized geometry

Calculated values
- Energy relative to the elements, uncorrected: -0.20 eV/atom
- Energy above the most stable polymorph in this dataset: 0.256 eV/atom
- Fermi-level density of states: 6.3 states/eV/cell
- Crystal system: tetragonal
- VASP energy: -6.04 eV/atom

Structure (CIF):
```
data_Ga2SiIr2
_symmetry_space_group_name_H-M 'P 4/m b m'
_symmetry_Int_Tables_number 127
_symmetry_space_group_name_Hall '-P 4 2ab'
_cell_length_a 7.231
_cell_length_b 7.231
_cell_length_c 2.929
_cell_angle_alpha 90.00
_cell_angle_beta 90.00
_cell_angle_gamma 90.00
loop_
_atom_site_label
_atom_site_fract_x
_atom_site_fract_y
_atom_site_fract_z
Ga1 0.139 0.361 0.000
Si1 0.000 0.000 0.500
Ir1 0.160 0.660 0.500
```



(3)
LaCrCo2 | PBE | optimized geometry

Calculated values
- Fermi-level density of states: 43.8 states/eV/cell
- Crystal system: cubic
- VASP energy: -6.60 eV/atom

Structure (CIF):
```
data_LaCrCo2
_symmetry_space_group_name_H-M 'F -4 3 m'
_symmetry_Int_Tables_number 216
_symmetry_space_group_name_Hall 'F -4 2 3'
_cell_length_a 6.372
_cell_length_b 6.372
_cell_length_c 6.372
_cell_angle_alpha 90.00
_cell_angle_beta 90.00
_cell_angle_gamma 90.00
loop_
_atom_site_label
_atom_site_fract_x
_atom_site_fract_y
_atom_site_fract_z
La1 0.000 0.000 0.000
Cr1 0.250 0.250 0.750
Co1 0.000 0.000 0.500
Co2 0.250 0.250 0.250
```